Here is TiBeB after structural relaxation from the Alexandria database. Energies are from PBE.

```
6
Lattice="2.978 0.000 0.000 0.000 3.283 0.000 0.000 -1.641 6.385" Properties=species:S:1:pos:R:3 pbc="T T T"
B 0.744 0.000 5.882
B 2.233 1.641 0.502
Be 2.233 1.641 2.576
Be 0.744 0.000 3.809
Ti 0.744 0.000 1.146
Ti 2.233 1.641 5.238
```

Values from the calculation:
The polymorph energy (0 for the lowest one) comes out at 20.0 kJ per mole of atoms. The value obtained for the formation enthalpy at 0 K is -0.409 eV per atom. Its space-group type is Cmcm, No. 63. The calculation puts the calculated volume at 62 Å³/cell. For the electronic total energy, the calculation gives -39.1 eV for the cell shown.